Record 1
! PBE TlCdGa2Cu, optimized geometry; values from VASP
&SYSTEM
  ibrav = 0, nat = 5, ntyp = 4
/
ATOMIC_SPECIES
Tl 204.38 Tl.upf
Cu 63.55 Cu.upf
Ga 69.72 Ga.upf
Cd 112.41 Cd.upf
CELL_PARAMETERS angstrom
-1.9512 -1.3313 -4.9286
4.8660 -2.2598 -1.3160
-1.6990 -4.8062 1.9709
ATOMIC_POSITIONS crystal
Tl 0.0000 0.0000 0.0000
Cu 0.5000 0.5000 0.5000
Ga 0.0000 0.0000 0.5000
Ga 0.5000 0.0000 0.0000
Cd 0.0000 0.5000 0.0000
! * magnetic moment: 0.00 μB/f.u.
! * ΔE to the lowest computed polymorph: 761 meV per atom
! * V: 33.0 Å³/atom
! * formation energy: 0.8802 eV/atom

Record 2
! PBE SrLa2YMn, optimized geometry; values from VASP
&SYSTEM
  ibrav = 0, nat = 5, ntyp = 4
/
ATOMIC_SPECIES
Y 88.91 Y.upf
Sr 87.62 Sr.upf
Mn 54.94 Mn.upf
La 138.91 La.upf
CELL_PARAMETERS angstrom
5.4022 0.0000 0.0000
0.0000 5.4022 0.0000
0.0000 0.0000 5.7145
ATOMIC_POSITIONS crystal
Y 0.0000 0.0000 0.5000
Sr 0.5000 0.5000 0.5000
Mn 0.0000 0.0000 0.0000
La 0.0000 0.5000 0.0000
La 0.5000 0.0000 0.0000
! * magnetic moment: 0.00 μB/f.u.
! * V: 33.4 Å³/atom
! * formation energy: 0.1739 eV/atom

Record 3
! PBE TaHg2, optimized geometry; values from VASP
&SYSTEM
  ibrav = 0, nat = 6, ntyp = 2
/
ATOMIC_SPECIES
Ta 180.95 Ta.upf
Hg 200.59 Hg.upf
CELL_PARAMETERS angstrom
1.5204 5.5821 0.5760
-1.5204 5.5821 0.5760
0.0000 3.2381 7.8937
ATOMIC_POSITIONS crystal
Ta 0.8069 0.8069 0.0795
Ta 0.1931 0.1931 0.9205
Hg 0.5173 0.5173 0.7781
Hg 0.8417 0.8417 0.5831
Hg 0.1583 0.1583 0.4169
Hg 0.4827 0.4827 0.2219
! * magnetic moment: 0.00 μB/f.u.
! * V: 21.4 Å³/atom
! * formation energy: 0.3571 eV/atom

Record 4
! PBE CdAsRu2, optimized geometry; values from VASP
&SYSTEM
  ibrav = 0, nat = 4, ntyp = 3
/
ATOMIC_SPECIES
Ru 101.07 Ru.upf
As 74.92 As.upf
Cd 112.41 Cd.upf
CELL_PARAMETERS angstrom
-6.9670 0.5751 -4.7875
-7.3574 -2.1456 -3.6127
-8.2078 0.2780 -2.0842
ATOMIC_POSITIONS crystal
Ru 0.9887 0.9887 0.9887
Ru 0.5113 0.5113 0.5113
As 0.2500 0.2500 0.2500
Cd 0.7500 0.7500 0.7500
! * magnetic moment: 0.31 μB/f.u.
! * ΔE to the lowest computed polymorph: 60 meV per atom
! * V: 16.0 Å³/atom
! * formation energy: 0.1292 eV/atom

Record 5
! PBE LaTb4Pm2Er, optimized geometry; values from VASP
&SYSTEM
  ibrav = 0, nat = 8, ntyp = 4
/
ATOMIC_SPECIES
La 138.91 La.upf
Tb 158.93 Tb.upf
Pm 145.00 Pm.upf
Er 167.26 Er.upf
CELL_PARAMETERS angstrom
3.6124 0.0000 0.0000
0.0000 6.2185 0.0080
0.0000 2.1159 11.7424
ATOMIC_POSITIONS crystal
La 0.5000 0.5000 0.0000
Tb 0.0000 0.7504 0.7465
Tb 0.0000 0.2496 0.2535
Tb 0.5000 0.7488 0.2533
Tb 0.5000 0.2512 0.7467
Pm 0.0000 0.0000 0.0000
Pm 0.5000 0.0000 0.5000
Er 0.0000 0.5000 0.5000
! * magnetic moment: 0.00 μB/f.u.
! * V: 33.0 Å³/atom
! * formation energy: 0.0193 eV/atom

Record 6
! PBE TbYBiPb, optimized geometry; values from VASP
&SYSTEM
  ibrav = 0, nat = 4, ntyp = 4
/
ATOMIC_SPECIES
Tb 158.93 Tb.upf
Y 88.91 Y.upf
Bi 208.98 Bi.upf
Pb 207.20 Pb.upf
CELL_PARAMETERS angstrom
4.4824 0.0000 0.0000
0.0000 4.4701 0.2792
0.0000 -0.3948 6.3071
ATOMIC_POSITIONS crystal
Tb 0.0000 0.8914 0.0922
Y 0.5000 0.3916 0.5927
Bi 0.5000 0.3914 0.0927
Pb 0.0000 0.8917 0.5922
! * magnetic moment: 0.00 μB/f.u.
! * V: 31.7 Å³/atom
! * formation energy: -0.6158 eV/atom

Record 7
! PBE TePd6Au, optimized geometry; values from VASP
&SYSTEM
  ibrav = 0, nat = 8, ntyp = 3
/
ATOMIC_SPECIES
Te 127.60 Te.upf
Pd 106.42 Pd.upf
Au 196.97 Au.upf
CELL_PARAMETERS angstrom
-0.9816 -0.6872 4.6754
3.2191 -3.1007 1.8218
4.8016 3.9107 3.7605
ATOMIC_POSITIONS crystal
Te 0.0000 0.0000 0.0000
Pd 0.4457 0.9275 0.7021
Pd 0.9275 0.4457 0.7021
Pd 0.0725 0.5543 0.2979
Pd 0.5543 0.0725 0.2979
Pd 0.6479 0.6479 0.0664
Pd 0.3521 0.3521 0.9336
Au 0.5000 0.5000 0.5000
! * formation energy (no corrections): 0 kJ/mol of atoms
! * magnetic moment: 0.00 μB/f.u.
! * ΔE to the lowest computed polymorph: 82 meV per atom
! * V: 18.7 Å³/atom

Record 8
! PBE CaSm3S4, optimized geometry; values from VASP
&SYSTEM
  ibrav = 0, nat = 8, ntyp = 3
/
ATOMIC_SPECIES
Ca 40.08 Ca.upf
S 32.06 S.upf
Sm 150.36 Sm.upf
CELL_PARAMETERS angstrom
5.6708 0.0000 0.0000
0.0000 5.6708 0.0000
0.0000 0.0000 5.6708
ATOMIC_POSITIONS crystal
Ca 0.0000 0.0000 0.0000
S 0.5000 0.0000 0.0000
S 0.0000 0.5000 0.0000
S 0.0000 0.0000 0.5000
S 0.5000 0.5000 0.5000
Sm 0.0000 0.5000 0.5000
Sm 0.5000 0.0000 0.5000
Sm 0.5000 0.5000 0.0000
! * formation energy (no corrections): -197 kJ/mol of atoms
! * magnetic moment: 0.00 μB/f.u.
! * V: 22.8 Å³/atom

Record 9
! PBE Zr2TaOs, optimized geometry; values from VASP
&SYSTEM
  ibrav = 0, nat = 4, ntyp = 3
/
ATOMIC_SPECIES
Os 190.23 Os.upf
Ta 180.95 Ta.upf
Zr 91.22 Zr.upf
CELL_PARAMETERS angstrom
-3.6115 -2.8368 -3.2548
-1.1925 -1.8215 -5.1908
1.1986 -4.5219 -0.8738
ATOMIC_POSITIONS crystal
Os 0.7500 0.7500 0.7500
Ta 0.2500 0.2500 0.2500
Zr 0.0133 0.0133 0.9867
Zr 0.4867 0.4867 0.5133
! * magnetic moment: 0.00 μB/f.u.
! * ΔE to the lowest computed polymorph: 66 meV per atom
! * V: 18.7 Å³/atom
! * formation energy: -0.1585 eV/atom

Record 10
! PBE ZrBe2Sb, optimized geometry; values from VASP
&SYSTEM
  ibrav = 0, nat = 4, ntyp = 3
/
ATOMIC_SPECIES
Sb 121.76 Sb.upf
Zr 91.22 Zr.upf
Be 9.01 Be.upf
CELL_PARAMETERS angstrom
4.0967 -0.0005 -0.0079
0.0006 4.0967 -0.0079
0.0081 0.0081 3.7483
ATOMIC_POSITIONS crystal
Sb 0.5000 0.0000 0.5000
Zr 0.0000 0.5000 0.5000
Be 0.0000 0.0000 0.0000
Be 0.5000 0.5000 0.0000
! * formation energy (no corrections): -2 kJ/mol of atoms
! * magnetic moment: 0.00 μB/f.u.
! * V: 15.7 Å³/atom

Record 11
! PBE Ce6Mg, optimized geometry; values from VASP
&SYSTEM
  ibrav = 0, nat = 7, ntyp = 2
/
ATOMIC_SPECIES
Ce 140.12 Ce.upf
Mg 24.30 Mg.upf
CELL_PARAMETERS angstrom
-1.5074 3.5780 -5.3159
-2.0105 -6.2049 -0.8891
-2.9990 2.5432 5.2794
ATOMIC_POSITIONS crystal
Ce 0.2500 0.7500 0.5000
Ce 0.5000 0.7500 0.2500
Ce 0.2500 0.5000 0.7500
Ce 0.7500 0.2500 0.5000
Ce 0.5000 0.2500 0.7500
Ce 0.7500 0.5000 0.2500
Mg 0.0000 0.0000 0.0000
! * magnetic moment: 0.00 μB/f.u.
! * V: 31.4 Å³/atom
! * formation energy: 0.7813 eV/atom

Record 12
! PBE Dy3Ni7As4, optimized geometry; values from VASP
&SYSTEM
  ibrav = 0, nat = 14, ntyp = 3
/
ATOMIC_SPECIES
Dy 162.50 Dy.upf
Ni 58.69 Ni.upf
As 74.92 As.upf
CELL_PARAMETERS angstrom
3.8416 0.0000 0.9691
1.4118 7.1435 2.5021
0.0592 0.0513 7.8637
ATOMIC_POSITIONS crystal
Dy 0.3221 0.1876 0.1682
Dy 0.6779 0.8124 0.8318
Dy 0.0000 0.5000 0.5000
Ni 0.3110 0.8500 0.5280
Ni 0.4957 0.2226 0.7859
Ni 0.8573 0.3792 0.9063
Ni 0.6890 0.1500 0.4720
Ni 0.1427 0.6208 0.0937
Ni 0.0000 0.0000 0.0000
Ni 0.5043 0.7774 0.2141
As 0.6649 0.4510 0.2192
As 0.3351 0.5490 0.7808
As 0.8874 0.8965 0.3288
As 0.1126 0.1035 0.6712
! * magnetic moment: 0.00 μB/f.u.
! * V: 15.4 Å³/atom
! * formation energy: -0.7424 eV/atom

Record 13
! PBE CsBeH2Cl, optimized geometry; values from VASP
&SYSTEM
  ibrav = 0, nat = 5, ntyp = 4
/
ATOMIC_SPECIES
Cs 132.91 Cs.upf
Be 9.01 Be.upf
H 1.01 H.upf
Cl 35.45 Cl.upf
CELL_PARAMETERS angstrom
4.2429 0.0000 0.0000
0.0000 9.5664 0.0000
0.0000 0.0000 4.2429
ATOMIC_POSITIONS crystal
Cs 0.0000 0.5000 0.0000
Be 0.0000 0.0000 0.0000
H 0.0000 0.0000 0.5000
H 0.5000 0.0000 0.0000
Cl 0.5000 0.5000 0.5000
! * magnetic moment: 0.00 μB/f.u.
! * uncorrected energy: -2.3984 eV per atom
! * V: 34.4 Å³/atom

Record 14
! PBE MgZrSc2, optimized geometry; values from VASP
&SYSTEM
  ibrav = 0, nat = 8, ntyp = 3
/
ATOMIC_SPECIES
Sc 44.96 Sc.upf
Mg 24.30 Mg.upf
Zr 91.22 Zr.upf
CELL_PARAMETERS angstrom
-6.7719 0.1248 4.0137
-0.9073 -7.7133 -1.2908
-2.3122 -4.4084 3.9576
ATOMIC_POSITIONS crystal
Sc 0.6126 0.1250 0.2500
Sc 0.1374 0.6250 0.2500
Sc 0.3750 0.3874 0.7500
Sc 0.8750 0.8626 0.7500
Mg 0.5000 0.5000 0.0000
Mg 0.2500 0.7500 0.5000
Zr 0.0000 0.0000 0.0000
Zr 0.7500 0.2500 0.5000
! * magnetic moment: 0.01 μB/f.u.
! * V: 23.8 Å³/atom
! * formation energy: 0.4105 eV/atom

Record 15
! PBE SnHPd2, optimized geometry; values from VASP
&SYSTEM
  ibrav = 0, nat = 4, ntyp = 3
/
ATOMIC_SPECIES
H 1.01 H.upf
Sn 118.71 Sn.upf
Pd 106.42 Pd.upf
CELL_PARAMETERS angstrom
-0.6482 -3.7860 2.1506
-0.0446 -0.0514 4.4017
-3.7763 -0.6886 2.1551
ATOMIC_POSITIONS crystal
H 0.0000 0.0000 0.0000
Sn 0.5000 0.5000 0.5000
Pd 0.2500 0.2500 0.2500
Pd 0.7500 0.7500 0.7500
! * magnetic moment: 0.00 μB/f.u.
! * ΔE to the lowest computed polymorph: 467 meV per atom
! * V: 15.1 Å³/atom

Record 16
! PBE LuSn2Sb, optimized geometry; values from VASP
&SYSTEM
  ibrav = 0, nat = 4, ntyp = 3
/
ATOMIC_SPECIES
Sb 121.76 Sb.upf
Lu 174.97 Lu.upf
Sn 118.71 Sn.upf
CELL_PARAMETERS angstrom
5.1618 0.0000 0.0000
0.0000 4.5052 0.0000
0.0000 0.0000 4.5052
ATOMIC_POSITIONS crystal
Sb 0.5000 0.0000 0.0000
Lu 0.5000 0.5000 0.5000
Sn 0.0000 0.0000 0.5000
Sn 0.0000 0.5000 0.0000
! * formation energy (no corrections): -30 kJ/mol of atoms
! * magnetic moment: 0.00 μB/f.u.
! * ΔE to the lowest computed polymorph: 0 meV per atom
! * V: 26.2 Å³/atom

Record 17
! PBE ErTmCdNi, optimized geometry; values from VASP
&SYSTEM
  ibrav = 0, nat = 4, ntyp = 4
/
ATOMIC_SPECIES
Cd 112.41 Cd.upf
Tm 168.93 Tm.upf
Ni 58.69 Ni.upf
Er 167.26 Er.upf
CELL_PARAMETERS angstrom
4.9958 0.0000 0.0000
2.4979 4.3265 0.0000
2.4979 1.4422 4.0791
ATOMIC_POSITIONS crystal
Cd 0.7500 0.7500 0.7500
Tm 0.0000 0.0000 0.0000
Ni 0.2500 0.2500 0.2500
Er 0.5000 0.5000 0.5000
! * magnetic moment: 0.00 μB/f.u.
! * ΔE to the lowest computed polymorph: 110 meV per atom
! * V: 22.0 Å³/atom
! * formation energy: -0.2851 eV/atom

Record 18
! PBE NaPdPb3, optimized geometry; values from VASP
&SYSTEM
  ibrav = 0, nat = 5, ntyp = 3
/
ATOMIC_SPECIES
Pb 207.20 Pb.upf
Na 22.99 Na.upf
Pd 106.42 Pd.upf
CELL_PARAMETERS angstrom
-3.9270 -3.3169 1.7965
-1.7008 -0.7579 -5.1170
3.3670 -4.2514 -0.4894
ATOMIC_POSITIONS crystal
Pb 0.0000 0.5000 0.0000
Pb 0.0000 0.0000 0.5000
Pb 0.5000 0.0000 0.0000
Na 0.5000 0.5000 0.5000
Pd 0.0000 0.0000 0.0000
! * magnetic moment: 0.00 μB/f.u.
! * ΔE to the lowest computed polymorph: 183 meV per atom
! * V: 32.3 Å³/atom
! * formation energy: 0.0126 eV/atom

Record 19
! PBE Er2ReC2, optimized geometry; values from VASP
&SYSTEM
  ibrav = 0, nat = 20, ntyp = 3
/
ATOMIC_SPECIES
Er 167.26 Er.upf
Re 186.21 Re.upf
C 12.01 C.upf
CELL_PARAMETERS angstrom
5.0669 0.0000 0.0000
0.0000 6.5380 0.0000
0.0000 0.0000 9.7775
ATOMIC_POSITIONS crystal
Er 0.7500 0.5334 0.7834
Er 0.2500 0.9666 0.2834
Er 0.7500 0.6782 0.4436
Er 0.2500 0.8218 0.9436
Er 0.7500 0.1782 0.0564
Er 0.2500 0.3218 0.5564
Er 0.2500 0.4666 0.2166
Er 0.7500 0.0334 0.7166
Re 0.2500 0.2816 0.8677
Re 0.2500 0.7816 0.6323
Re 0.7500 0.2184 0.3677
Re 0.7500 0.7184 0.1323
C 0.2500 0.6750 0.4478
C 0.2500 0.5487 0.7591
C 0.7500 0.4513 0.2409
C 0.7500 0.8250 0.9478
C 0.2500 0.0487 0.7409
C 0.2500 0.1750 0.0522
C 0.7500 0.3250 0.5522
C 0.7500 0.9513 0.2591
! * magnetic moment: 0.00 μB/f.u.
! * V: 16.2 Å³/atom
! * formation energy: -0.4486 eV/atom

Record 20
! PBE TaPd2Pt2Rh, optimized geometry; values from VASP
&SYSTEM
  ibrav = 0, nat = 12, ntyp = 4
/
ATOMIC_SPECIES
Ta 180.95 Ta.upf
Pd 106.42 Pd.upf
Pt 195.08 Pt.upf
Rh 102.91 Rh.upf
CELL_PARAMETERS angstrom
-0.6207 2.3339 4.8646
-4.1138 -3.1919 1.0065
4.9627 -3.8652 2.4876
ATOMIC_POSITIONS crystal
Ta 0.7500 0.2867 0.8418
Ta 0.2500 0.7133 0.1582
Pd 0.5027 0.1782 0.1788
Pd 0.9973 0.1782 0.1788
Pd 0.0027 0.8218 0.8212
Pd 0.4973 0.8218 0.8212
Pt 0.2500 0.0089 0.5091
Pt 0.2500 0.5036 0.4853
Pt 0.7500 0.9911 0.4909
Pt 0.7500 0.4964 0.5147
Rh 0.2500 0.3453 0.8726
Rh 0.7500 0.6547 0.1274
! * magnetic moment: 0.00 μB/f.u.
! * V: 16.0 Å³/atom
! * formation energy: -0.2628 eV/atom

Record 21
! PBE Nd2Cd7, optimized geometry; values from VASP
&SYSTEM
  ibrav = 0, nat = 9, ntyp = 2
/
ATOMIC_SPECIES
Nd 144.24 Nd.upf
Cd 112.41 Cd.upf
CELL_PARAMETERS angstrom
-1.3709 4.6672 -1.5964
-3.5852 -3.4906 1.0831
-0.2216 3.0884 9.2198
ATOMIC_POSITIONS crystal
Nd 0.3333 0.6667 0.7822
Nd 0.6667 0.3333 0.2178
Cd 0.3333 0.6667 0.1049
Cd 0.6667 0.3333 0.8951
Cd 0.3333 0.6667 0.4284
Cd 0.6667 0.3333 0.5716
Cd 0.0000 0.0000 0.3477
Cd 0.0000 0.0000 0.6523
Cd 0.0000 0.0000 0.0000
! * magnetic moment: 0.00 μB/f.u.
! * ΔE to the lowest computed polymorph: 0 meV per atom
! * V: 24.5 Å³/atom
! * formation energy: -0.2448 eV/atom

Record 22
! PBE Cs3SrBe, optimized geometry; values from VASP
&SYSTEM
  ibrav = 0, nat = 5, ntyp = 3
/
ATOMIC_SPECIES
Cs 132.91 Cs.upf
Sr 87.62 Sr.upf
Be 9.01 Be.upf
CELL_PARAMETERS angstrom
-4.0271 -3.1545 -5.1529
5.9532 -3.1284 -2.7374
-1.0309 -5.7431 4.3215
ATOMIC_POSITIONS crystal
Cs 0.0000 0.5000 0.0000
Cs 0.0000 0.0000 0.5000
Cs 0.5000 0.0000 0.0000
Sr 0.5000 0.5000 0.5000
Be 0.0000 0.0000 0.0000
! * magnetic moment: 0.00 μB/f.u.
! * ΔE to the lowest computed polymorph: 0 meV per atom
! * V: 76.6 Å³/atom
! * formation energy: 0.6164 eV/atom

Record 23
! PBE Ce4HoLu, optimized geometry; values from VASP
&SYSTEM
  ibrav = 0, nat = 6, ntyp = 3
/
ATOMIC_SPECIES
Lu 174.97 Lu.upf
Ho 164.93 Ho.upf
Ce 140.12 Ce.upf
CELL_PARAMETERS angstrom
6.2818 0.0000 0.0000
3.1409 5.4402 0.0000
3.1409 1.8134 5.1291
ATOMIC_POSITIONS crystal
Lu 0.0000 0.0000 0.0000
Ho 0.2500 0.2500 0.2500
Ce 0.6272 0.6272 0.1185
Ce 0.6272 0.1185 0.6272
Ce 0.6272 0.6272 0.6272
Ce 0.1185 0.6272 0.6272
! * magnetic moment: 4.03 μB/f.u.
! * V: 29.2 Å³/atom
! * formation energy: 0.2118 eV/atom

Record 24
! PBE Pa4Ga12Rh, optimized geometry; values from VASP
&SYSTEM
  ibrav = 0, nat = 17, ntyp = 3
/
ATOMIC_SPECIES
Pa 231.04 Pa.upf
Ga 69.72 Ga.upf
Rh 102.91 Rh.upf
CELL_PARAMETERS angstrom
7.4816 0.0000 0.0000
-2.4939 7.0537 0.0000
-2.4939 -3.5269 6.1087
ATOMIC_POSITIONS crystal
Pa 0.0000 0.0000 0.5000
Pa 0.5000 0.0000 0.0000
Pa 0.5000 0.5000 0.5000
Pa 0.0000 0.5000 0.0000
Ga 0.0000 0.2947 0.2947
Ga 0.0000 0.7053 0.7053
Ga 0.7053 0.7053 0.0000
Ga 0.2947 0.2947 0.0000
Ga 0.2947 0.0000 0.2947
Ga 0.7053 0.0000 0.7053
Ga 0.5000 0.2500 0.7500
Ga 0.5000 0.7500 0.2500
Ga 0.7500 0.2500 0.5000
Ga 0.2500 0.7500 0.5000
Ga 0.7500 0.5000 0.2500
Ga 0.2500 0.5000 0.7500
Rh 0.0000 0.0000 0.0000
! * magnetic moment: 0.01 μB/f.u.
! * V: 19.0 Å³/atom
! * formation energy: -0.4650 eV/atom

Record 25
! PBE LiGaTc3, optimized geometry; values from VASP
&SYSTEM
  ibrav = 0, nat = 5, ntyp = 3
/
ATOMIC_SPECIES
Tc 98.00 Tc.upf
Ga 69.72 Ga.upf
Li 6.94 Li.upf
CELL_PARAMETERS angstrom
-3.4453 0.6060 3.0190
1.6914 -3.4133 2.6154
2.5731 3.0552 2.3232
ATOMIC_POSITIONS crystal
Tc 0.0000 0.5000 0.0000
Tc 0.0000 0.0000 0.5000
Tc 0.5000 0.0000 0.0000
Ga 0.0000 0.0000 0.0000
Li 0.5000 0.5000 0.5000
! * magnetic moment: 4.15 μB/f.u.
! * ΔE to the lowest computed polymorph: 462 meV per atom
! * V: 19.7 Å³/atom
! * formation energy: 1.5506 eV/atom

Record 26
! PBE NpPt3, optimized geometry; values from VASP
&SYSTEM
  ibrav = 0, nat = 4, ntyp = 2
/
ATOMIC_SPECIES
Np 237.00 Np.upf
Pt 195.08 Pt.upf
CELL_PARAMETERS angstrom
4.6885 0.0000 0.0000
2.3442 4.0603 0.0000
2.3442 1.3534 3.8281
ATOMIC_POSITIONS crystal
Np 0.5000 0.5000 0.5000
Pt 0.0000 0.0000 0.0000
Pt 0.7500 0.7500 0.7500
Pt 0.2500 0.2500 0.2500
! * magnetic moment: 3.11 μB/f.u.
! * V: 18.2 Å³/atom
! * formation energy: -0.4346 eV/atom